Record 1
! PBE-GGA Zr2TaH, optimized geometry; values from VASP
! Total magnetization (μB/cell): 0.00
! Crystal system: tetragonal
! Relative energy among the computed polymorphs (meV/atom): 27
! Symmetry: I-42d
&SYSTEM
  ibrav = 0, nat = 8, ntyp = 3
/
ATOMIC_SPECIES
Zr 91.22 Zr.upf
Ta 180.95 Ta.upf
H 1.01 H.upf
CELL_PARAMETERS angstrom
6.5147 0.0000 0.0000
0.0000 6.5147 0.0000
3.2573 3.2573 3.2507
ATOMIC_POSITIONS crystal
Zr 0.3750 0.4662 0.7500
Zr 0.5338 0.1250 0.2500
Ta 0.7500 0.2500 0.5000
Ta 0.0000 0.0000 0.0000
Zr 0.2162 0.6250 0.2500
Zr 0.8750 0.7838 0.7500
H 0.5000 0.5000 0.0000
H 0.2500 0.7500 0.5000

***

Record 2
! PBE-GGA Zr2TaH, optimized geometry; values from VASP
! Total magnetization (μB/cell): 0.00
! Crystal system: trigonal
! Relative energy among the computed polymorphs (meV/atom): 0
! Symmetry: R-3m
&SYSTEM
  ibrav = 0, nat = 4, ntyp = 3
/
ATOMIC_SPECIES
Zr 91.22 Zr.upf
H 1.01 H.upf
Ta 180.95 Ta.upf
CELL_PARAMETERS angstrom
-0.1327 -2.3064 1.9543
-0.8949 -2.7325 -0.9429
7.7039 -3.6864 -1.4846
ATOMIC_POSITIONS crystal
Zr 0.1104 0.1104 0.6689
H 0.5000 0.5000 0.5000
Zr 0.8896 0.8896 0.3311
Ta 0.0000 0.0000 0.0000

***

Record 3
! PBE-GGA Zr3Ta5H12, optimized geometry; values from VASP
! Total magnetization (μB/cell): 0.00
! Crystal system: cubic
! Final energy (eV/atom): -6.541
! Symmetry: Ia-3d
&SYSTEM
  ibrav = 0, nat = 80, ntyp = 3
/
ATOMIC_SPECIES
Ta 180.95 Ta.upf
H 1.01 H.upf
Zr 91.22 Zr.upf
CELL_PARAMETERS angstrom
9.9416 0.0000 0.0000
-3.3139 9.3730 0.0000
-3.3139 -4.6865 8.1173
ATOMIC_POSITIONS crystal
Ta 0.6250 0.8750 0.2500
H 0.0812 0.1602 0.4398
H 0.3586 0.9398 0.7797
Ta 0.5000 0.5000 0.5000
H 0.5790 0.7203 0.6602
H 0.6602 0.4398 0.5812
H 0.0790 0.9188 0.3586
H 0.1414 0.4210 0.0812
H 0.4210 0.1414 0.5812
H 0.7203 0.1414 0.0602
H 0.8586 0.2797 0.4398
Ta 0.3750 0.1250 0.7500
Ta 0.1250 0.3750 0.2500
H 0.2797 0.8586 0.9398
Ta 0.0000 0.0000 0.0000
Zr 0.1250 0.2500 0.8750
Ta 0.5000 0.0000 0.5000
H 0.0602 0.6414 0.7203
H 0.9210 0.0812 0.6414
Zr 0.7500 0.3750 0.1250
H 0.4188 0.3586 0.5790
Ta 0.8750 0.2500 0.6250
Ta 0.3750 0.2500 0.1250
H 0.8398 0.9188 0.0602
Ta 0.6250 0.7500 0.8750
Ta 0.8750 0.6250 0.7500
H 0.7797 0.4398 0.3586
Zr 0.6250 0.2500 0.3750
H 0.6414 0.0602 0.2203
H 0.0812 0.9210 0.1414
Zr 0.8750 0.7500 0.1250
Ta 0.7500 0.6250 0.3750
H 0.3398 0.5602 0.4188
H 0.9398 0.3586 0.2797
H 0.2797 0.4210 0.8398
H 0.6602 0.2203 0.5790
H 0.1414 0.7203 0.5602
Zr 0.2500 0.1250 0.3750
H 0.5790 0.8586 0.4188
H 0.8398 0.9210 0.2797
Zr 0.6250 0.3750 0.7500
Ta 0.0000 0.0000 0.5000
H 0.5602 0.2203 0.1414
H 0.2203 0.6602 0.0790
H 0.7203 0.5790 0.1602
H 0.4188 0.0602 0.3398
Zr 0.1250 0.8750 0.7500
Ta 0.2500 0.3750 0.6250
H 0.4210 0.2797 0.3398
H 0.5602 0.3398 0.9188
H 0.9398 0.5812 0.1602
Ta 0.7500 0.1250 0.8750
H 0.5812 0.6414 0.4210
Ta 0.5000 0.0000 0.0000
H 0.4398 0.7797 0.8586
H 0.5812 0.9398 0.6602
Ta 0.5000 0.5000 0.0000
H 0.9188 0.0790 0.8586
H 0.1602 0.0812 0.9398
Zr 0.8750 0.1250 0.2500
H 0.2203 0.5602 0.6414
H 0.9210 0.8398 0.7797
H 0.0790 0.1602 0.2203
H 0.4398 0.6602 0.0812
Ta 0.2500 0.8750 0.1250
H 0.6414 0.5812 0.9210
Ta 0.0000 0.5000 0.0000
Ta 0.1250 0.7500 0.3750
Zr 0.2500 0.6250 0.8750
H 0.7797 0.3398 0.9210
H 0.1602 0.0790 0.7203
Ta 0.0000 0.5000 0.5000
Zr 0.3750 0.7500 0.6250
H 0.8586 0.5790 0.9188
Zr 0.3750 0.6250 0.2500
Zr 0.7500 0.8750 0.6250
H 0.3398 0.7797 0.4210
H 0.3586 0.4188 0.0790
H 0.9188 0.8398 0.5602
H 0.0602 0.4188 0.8398

***

Record 4
! PBE-GGA ZrTaH2, optimized geometry; values from VASP
! Total magnetization (μB/cell): 0.00
! Crystal system: cubic
! Relative energy among the computed polymorphs (meV/atom): 696
! Symmetry: Fm-3m
&SYSTEM
  ibrav = 0, nat = 4, ntyp = 3
/
ATOMIC_SPECIES
H 1.01 H.upf
Zr 91.22 Zr.upf
Ta 180.95 Ta.upf
CELL_PARAMETERS angstrom
-3.8916 -0.2028 1.0026
-2.1576 3.3748 0.3820
-2.8273 0.8988 -2.7182
ATOMIC_POSITIONS crystal
H 0.2500 0.2500 0.2500
Zr 0.0000 0.0000 0.0000
H 0.7500 0.7500 0.7500
Ta 0.5000 0.5000 0.5000

***

Record 5
! PBE-GGA Zr5Ta2H12, optimized geometry; values from VASP
! Total magnetization (μB/cell): 0.00
! Crystal system: monoclinic
! Final energy (eV/atom): -5.896
! Symmetry: C2/m
&SYSTEM
  ibrav = 0, nat = 19, ntyp = 3
/
ATOMIC_SPECIES
H 1.01 H.upf
Ta 180.95 Ta.upf
Zr 91.22 Zr.upf
CELL_PARAMETERS angstrom
5.6259 0.0000 0.0000
-2.8130 5.2680 0.1270
0.0000 -1.7057 6.3814
ATOMIC_POSITIONS crystal
H 0.4816 0.9633 0.1948
Ta 0.2431 0.0000 0.0000
H 0.0525 0.1051 0.8333
Zr 0.3287 0.6573 0.6369
H 0.4037 0.3255 0.5905
H 0.1192 0.6340 0.9065
H 0.0782 0.6745 0.4095
H 0.5148 0.6340 0.9065
H 0.8808 0.3660 0.0935
H 0.9218 0.3255 0.5905
H 0.9475 0.8949 0.1667
Ta 0.7569 0.0000 0.0000
Zr 0.7138 0.4277 0.8282
H 0.5184 0.0367 0.8052
H 0.5963 0.6745 0.4095
Zr 0.6713 0.3427 0.3631
Zr 0.2862 0.5723 0.1718
H 0.4852 0.3660 0.0935
Zr 0.0000 0.0000 0.5000

***

Record 6
! PBE-GGA Zr2TaH, optimized geometry; values from VASP
! Total magnetization (μB/cell): 0.00
! Crystal system: tetragonal
! Relative energy among the computed polymorphs (meV/atom): 11
! Symmetry: P4/mmm
&SYSTEM
  ibrav = 0, nat = 4, ntyp = 3
/
ATOMIC_SPECIES
Ta 180.95 Ta.upf
Zr 91.22 Zr.upf
H 1.01 H.upf
CELL_PARAMETERS angstrom
-0.6421 -1.1385 -2.6374
1.1950 -2.5634 0.8157
-6.7514 -2.3075 2.6397
ATOMIC_POSITIONS crystal
Ta 0.5000 0.5000 0.5000
Zr 0.0000 0.0000 0.1940
H 0.5000 0.5000 0.0000
Zr 0.0000 0.0000 0.8060

***

- Which value of total magnetization does entry 1 give?
  0.00 μB/cell